Computed, not measured: an optimized crystal structure of NaMgW3 at the PBE level of DFT.

Cell lengths 4.694, 4.694, 4.694 Å; angles 90.00, 90.00, 90.00 degrees
Atoms (fractional coordinates):
1 Na 0.000 0.000 0.000
2 Mg 0.500 0.500 0.500
3 W 0.000 0.500 0.500
4 W 0.500 0.000 0.500
5 W 0.500 0.500 0.000

Summary:
As for the offset from the most stable computed form: 0.00 eV/f.u. For the formation energy, the calculation gives 2.694 eV per atom. The calculation puts the density of states at the Fermi level at 1.753 states/eV per atom. The calculation puts the size of the total moment at 0.0 Bohr magnetons per cell. As for the total energy: -28.30 eV/cell.